{"formula": "BaLi2Zn2", "functional": "PBE", "state": "relaxed", "final_energy_ev_per_atom": -1.681, "m_tot_mub_per_fu": 0.0, "polymorph_energy_mev_per_atom": 83, "lattice_angstrom": [[8.213, 0.000, 0.000], [0.000, 8.213, 0.000], [0.000, 0.000, 3.407]], "species": ["Zn", "Zn", "Zn", "Zn", "Ba", "Ba", "Li", "Li", "Li", "Li"], "fractional_positions": [[0.161, 0.661, 0.500], [0.661, 0.839, 0.500], [0.839, 0.339, 0.500], [0.339, 0.161, 0.500], [0.000, 0.000, 0.000], [0.500, 0.500, 0.000], [0.381, 0.881, 0.000], [0.881, 0.619, 0.000], [0.619, 0.119, 0.000], [0.119, 0.381, 0.000]]}


{"formula": "Au3Cl5", "functional": "PBE", "state": "relaxed", "final_energy_ev_per_atom": -2.319, "e_form_raw_mev_per_atom": 64, "m_tot_mub_per_fu": 0.0, "polymorph_energy_mev_per_atom": 239, "lattice_angstrom": [[3.932, -6.779, 0.000], [3.932, 6.779, 0.000], [0.000, 0.000, 3.554]], "species": ["Au", "Au", "Au", "Cl", "Cl", "Cl", "Cl", "Cl"], "fractional_positions": [[0.500, 0.500, 0.000], [0.781, 0.219, 0.500], [0.219, 0.781, 0.500], [0.000, 0.000, 0.000], [0.000, 0.500, 0.000], [0.500, 0.000, 0.000], [0.294, 0.294, 0.500], [0.706, 0.706, 0.500]]}


Repeat the first record exactly.
{"formula": "BaLi2Zn2", "functional": "PBE", "state": "relaxed", "final_energy_ev_per_atom": -1.681, "m_tot_mub_per_fu": 0.0, "polymorph_energy_mev_per_atom": 83, "lattice_angstrom": [[8.213, 0.000, 0.000], [0.000, 8.213, 0.000], [0.000, 0.000, 3.407]], "species": ["Zn", "Zn", "Zn", "Zn", "Ba", "Ba", "Li", "Li", "Li", "Li"], "fractional_positions": [[0.161, 0.661, 0.500], [0.661, 0.839, 0.500], [0.839, 0.339, 0.500], [0.339, 0.161, 0.500], [0.000, 0.000, 0.000], [0.500, 0.500, 0.000], [0.381, 0.881, 0.000], [0.881, 0.619, 0.000], [0.619, 0.119, 0.000], [0.119, 0.381, 0.000]]}